1.
Pr3Rh2Au after structural relaxation. Source: Alexandria, functional GGA-PBE.

The structure belongs to space group Cmmm (No. 65); the cell edges are 3.899, 16.080 and 4.580 Å and the angles 90.00°, 90.00° and 90.00°. The distinct sites, in fractional coordinates, are Pr at (0.000, 0.000, 0.000), Pr at (0.000, 0.164, 0.500), Rh at (0.000, 0.323, 0.000) and Au at (0.000, 0.500, 0.500).

The energy of formation from the pure elements is -479 meV/atom. For the volume, the calculation gives 23.93 A^3/atom. The relative energy among the computed polymorphs comes out at 173 meV per atom.

---

2.
Pa2HgF9 after structural relaxation. Source: Alexandria, functional GGA-PBE.

The structure belongs to space group P6/mmm (No. 191); the cell edges are 7.9750, 7.9750 and 3.5888 Å and the angles 90.00°, 90.00° and 120.00°. The distinct sites, in fractional coordinates, are Pa at (0.3333, 0.6667, 0.0000), Hg at (0.0000, 0.0000, 0.0000), F at (0.0000, 0.5000, 0.0000) and F at (0.2272, 0.4545, 0.5000).

For the volume, the calculation gives 16.47 A^3/atom. As for the raw formation energy: -330.75 kJ/mol of atoms.

---

3.
In4AsOs after structural relaxation. Source: Alexandria, functional GGA-PBE.

The structure belongs to space group F-43m (No. 216); the cell edges are 8.211, 8.211 and 8.211 Å and the angles 90.00°, 90.00° and 90.00°. The distinct sites, in fractional coordinates, are In at (0.125, 0.125, 0.125), As at (0.000, 0.000, 0.500) and Os at (0.250, 0.250, 0.750).

The energy of formation from the pure elements is 986 meV/atom. For the volume, the calculation gives 23.07 A^3/atom.

---

4.
Er12Pd6Rh after structural relaxation. Source: Alexandria, functional GGA-PBE.

The structure belongs to space group R-3 (No. 148, hexagonal axes); the cell edges are 12.4355, 12.4355 and 11.5886 Å and the angles 90.00°, 90.00° and 120.00°. The distinct sites, in fractional coordinates, are Er at (0.0269, 0.2100, 0.3898), Er at (0.0397, 0.2011, 0.8799), Pd at (0.0432, 0.2664, 0.6441) and Rh at (0.0000, 0.0000, 0.0000).

The energy of formation from the pure elements is -585 meV/atom. For the volume, the calculation gives 27.23 A^3/atom.

---

5.
LiTiGe after structural relaxation. Source: Alexandria, functional GGA-PBE.

The structure belongs to space group R-3m (No. 166, hexagonal axes); the cell edges are 4.1289, 4.1289 and 21.5210 Å and the angles 90.00°, 90.00° and 120.00°. The distinct sites, in fractional coordinates, are Li at (0.0000, 0.0000, 0.1383), Ti at (0.0000, 0.0000, 0.2911) and Ge at (0.0000, 0.0000, 0.4216).

The energy of formation from the pure elements is -215 meV/atom. For the volume, the calculation gives 17.65 A^3/atom.

---

6.
CsSb2Pt after structural relaxation. Source: Alexandria, functional GGA-PBE.

The structure belongs to space group Immm (No. 71); the cell edges are 5.211, 9.948 and 18.575 Å and the angles 90.00°, 90.00° and 90.00°. The distinct sites, in fractional coordinates, are Cs at (0.000, 0.000, 0.192), Cs at (0.000, 0.256, 0.000), Sb at (0.000, 0.000, 0.416), Sb at (0.000, 0.345, 0.204), Sb at (0.000, 0.500, 0.426) and Pt at (0.000, 0.230, 0.339).

For the volume, the calculation gives 30.09 A^3/atom. The relative energy among the computed polymorphs comes out at 233 meV per atom. As for the raw formation energy: -23.70 kJ/mol of atoms.